No. 1
Compound: YHo2Pd
Source: Alexandria via LeMat-Bulk
Functional: PBE-GGA
Structure: optimized geometry

Unit cell a=6.445 b=7.028 c=9.653 alpha=90.00 beta=90.00 gamma=90.00
Element x y z (fractional)
Ho (0.325, 0.181, 0.441)
Ho (0.325, 0.181, 0.059)
Ho (0.175, 0.681, 0.059)
Ho (0.825, 0.319, 0.941)
Ho (0.175, 0.681, 0.441)
Ho (0.675, 0.819, 0.941)
Ho (0.675, 0.819, 0.559)
Ho (0.825, 0.319, 0.559)
Y (0.369, 0.479, 0.750)
Y (0.131, 0.979, 0.750)
Y (0.869, 0.021, 0.250)
Y (0.631, 0.521, 0.250)
Pd (0.438, 0.890, 0.250)
Pd (0.062, 0.390, 0.250)
Pd (0.562, 0.110, 0.750)
Pd (0.938, 0.610, 0.750)

Computed properties:
Volume, Å³ per atom: 27.3
Energy of formation from the pure elements, meV/atom: -481.3
Total moment, μB/f.u.: 0.00
Symmetry: Pnma (62)
Fermi-level density of states, states/eV/f.u.: 4.81
Energy above the most stable polymorph in this dataset, kJ/mol of formula units: 0

No. 2
Compound: Y17Tm2
Source: Alexandria via LeMat-Bulk
Functional: PBE-GGA
Structure: optimized geometry

Unit cell a=8.763 b=8.763 c=8.763 alpha=79.16 beta=79.16 gamma=79.16
Element x y z (fractional)
Y (0.000, 0.000, 0.500)
Y (0.097, 0.097, 0.097)
Y (0.372, 0.850, 0.372)
Y (0.700, 0.300, 0.000)
Y (0.300, 0.000, 0.700)
Y (0.000, 0.500, 0.000)
Y (0.850, 0.372, 0.372)
Y (0.903, 0.903, 0.903)
Y (0.150, 0.628, 0.628)
Y (0.500, 0.000, 0.000)
Y (0.372, 0.372, 0.850)
Y (0.000, 0.700, 0.300)
Y (0.628, 0.628, 0.150)
Y (0.700, 0.000, 0.300)
Y (0.300, 0.700, 0.000)
Y (0.000, 0.300, 0.700)
Y (0.628, 0.150, 0.628)
Tm (0.319, 0.319, 0.319)
Tm (0.681, 0.681, 0.681)

Computed properties:
Volume, Å³ per atom: 33.7
Energy of formation from the pure elements, meV/atom: 305.4
Total moment, μB/f.u.: 0.00
Symmetry: R-3m (166)
Fermi-level density of states, states/eV/f.u.: 35.34

No. 3
Compound: Mg5Cd2Hg2
Source: Alexandria via LeMat-Bulk
Functional: PBE-GGA
Structure: optimized geometry

Unit cell a=5.721 b=7.731 c=8.215 alpha=53.42 beta=79.74 gamma=117.81
Element x y z (fractional)
Hg (0.547, 0.088, 0.133)
Hg (0.453, 0.912, 0.867)
Mg (0.779, 0.553, 0.565)
Mg (0.221, 0.447, 0.435)
Mg (0.676, 0.340, 0.321)
Mg (0.000, 0.000, 0.000)
Mg (0.324, 0.660, 0.679)
Cd (0.112, 0.215, 0.227)
Cd (0.888, 0.785, 0.773)

Computed properties:
Volume, Å³ per atom: 22.0
Energy of formation from the pure elements, meV/atom: -99.1
Total moment, μB/f.u.: 0.00
Symmetry: P-1 (2)
Fermi-level density of states, states/eV/f.u.: 2.83
Energy above the most stable polymorph in this dataset, kJ/mol of formula units: 0

No. 4
Compound: Nb2VHg
Source: Alexandria via LeMat-Bulk
Functional: PBE-GGA
Structure: optimized geometry

Unit cell a=3.052 b=3.052 c=9.992 alpha=81.21 beta=81.21 gamma=60.00
Element x y z (fractional)
Nb (0.101, 0.101, 0.698)
Nb (0.899, 0.899, 0.302)
V (0.500, 0.500, 0.500)
Hg (0.000, 0.000, 0.000)

Computed properties:
Volume, Å³ per atom: 19.8
Energy of formation from the pure elements, meV/atom: 558.4
Total moment, μB/f.u.: 0.00
Symmetry: R-3m (166)
Fermi-level density of states, states/eV/f.u.: 5.19

No. 5
Compound: LaBeGe3
Source: Alexandria via LeMat-Bulk
Functional: PBE-GGA
Structure: optimized geometry

Unit cell a=4.120 b=6.016 c=9.336 alpha=90.00 beta=116.20 gamma=90.00
Element x y z (fractional)
Ge (0.167, 0.537, 0.917)
Ge (0.167, 0.963, 0.917)
Ge (0.317, 0.750, 0.566)
Ge (0.683, 0.250, 0.434)
Ge (0.833, 0.037, 0.083)
Ge (0.833, 0.463, 0.083)
La (0.454, 0.250, 0.704)
La (0.546, 0.750, 0.296)
Be (0.067, 0.250, 0.318)
Be (0.933, 0.750, 0.682)

Computed properties:
Volume, Å³ per atom: 20.8
Energy of formation from the pure elements, meV/atom: -321.5
Total moment, μB/f.u.: 0.00
Symmetry: P2_1/m (11)
Fermi-level density of states, states/eV/f.u.: 2.52
Energy above the most stable polymorph in this dataset, kJ/mol of formula units: 1

No. 6
Compound: Tc2AgSb
Source: Alexandria via LeMat-Bulk
Functional: PBE-GGA
Structure: optimized geometry

Unit cell a=7.501 b=7.501 c=5.934 alpha=50.80 beta=50.80 gamma=90.00
Site moments in Bohr magnetons follow the coordinates.
Element x y z (fractional)
Sb (0.750, 0.250, 0.500)  0.00
Sb (0.000, 0.000, 0.000)  0.00
Tc (0.644, 0.125, 0.250)  0.64
Tc (0.875, 0.894, 0.750)  0.64
Tc (0.375, 0.356, 0.750)  0.64
Tc (0.106, 0.625, 0.250)  0.64
Ag (0.250, 0.750, 0.500)  0.00
Ag (0.500, 0.500, 0.000)  0.00

Computed properties:
Volume, Å³ per atom: 18.7
Total moment, μB/f.u.: 1.40
Symmetry: I-42d (122)
Formation energy without anion corrections, eV/atom: 0.83
Fermi-level density of states, states/eV/f.u.: 3.99

Copy entry 6 word for word.
Compound: Tc2AgSb
Source: Alexandria via LeMat-Bulk
Functional: PBE-GGA
Structure: optimized geometry

Unit cell a=7.501 b=7.501 c=5.934 alpha=50.80 beta=50.80 gamma=90.00
Site moments in Bohr magnetons follow the coordinates.
Element x y z (fractional)
Sb (0.750, 0.250, 0.500)  0.00
Sb (0.000, 0.000, 0.000)  0.00
Tc (0.644, 0.125, 0.250)  0.64
Tc (0.875, 0.894, 0.750)  0.64
Tc (0.375, 0.356, 0.750)  0.64
Tc (0.106, 0.625, 0.250)  0.64
Ag (0.250, 0.750, 0.500)  0.00
Ag (0.500, 0.500, 0.000)  0.00

Computed properties:
Volume, Å³ per atom: 18.7
Total moment, μB/f.u.: 1.40
Symmetry: I-42d (122)
Formation energy without anion corrections, eV/atom: 0.83
Fermi-level density of states, states/eV/f.u.: 3.99

What is the formula in the sixth record?
Tc2AgSb